Record 1
Below is a relaxed structure of Na3Ag2P4HO14, with properties calculated at the PBE level.

Calculated values
* space-group type: No. 2

Cell: 5.2660 5.3503 12.6743 Å, 96.59 95.55 119.14°
Element x y z (fractional)
Na1 0.0000 0.0000 0.0000
Na2 0.3456 0.1839 0.5358
Na3 0.6544 0.8161 0.4642
Ag1 0.2519 0.0405 0.2669
Ag2 0.7481 0.9595 0.7331
P1 0.0666 0.5736 0.6441
P2 0.2763 0.5739 0.8673
P3 0.7237 0.4261 0.1327
P4 0.9334 0.4264 0.3559
H1 0.0000 0.5000 0.0000
O1 0.0121 0.2167 0.3992
O2 0.1142 0.6601 0.7751
O3 0.1417 0.2417 0.8466
O4 0.1824 0.7488 0.3863
O5 0.2123 0.6869 0.9724
O6 0.3645 0.6119 0.6186
O7 0.3948 0.2800 0.1382
O8 0.6052 0.7200 0.8618
O9 0.6355 0.3881 0.3814
O10 0.7877 0.3131 0.0276
O11 0.8176 0.2512 0.6137
O12 0.8583 0.7583 0.1534
O13 0.8858 0.3399 0.2249
O14 0.9879 0.7833 0.6008

Record 2
Below is a relaxed structure of BaSmGe2Ir, with properties calculated at the PBE level.

Calculated values
* spin magnetization: 0.00 μB/f.u.
* space-group type: No. 12

Cell: 6.0801 6.0801 11.3309 Å, 116.32 116.32 42.49°
Element x y z (fractional)
Ba1 0.1752 0.1752 0.0970
Ba2 0.8248 0.8248 0.9030
Sm1 0.0018 0.0018 0.3455
Sm2 0.9982 0.9982 0.6545
Ge1 0.3438 0.3438 0.4273
Ge2 0.4927 0.4927 0.8260
Ge3 0.5073 0.5073 0.1740
Ge4 0.6562 0.6562 0.5727
Ir1 0.2720 0.2720 0.6085
Ir2 0.7280 0.7280 0.3915

Calculated volume in order - 12.71 24.89 Å³ per atom
Calculated raw total energy in order - -6.114 -5.644 eV/atom